# HgIr2Ru | Alexandria | PBEsol | relaxed
data_HgIr2Ru
_chemical_formula_sum 'Hg1 Ir2 Ru1'
_cell_length_a 9.2910
_cell_length_b 9.2910
_cell_length_c 9.2910
_cell_angle_alpha 17.12
_cell_angle_beta 17.12
_cell_angle_gamma 17.12
_symmetry_space_group_name_H-M 'P 1'
_symmetry_Int_Tables_number 1
_symmetry_space_group_name_Hall 'P 1'
loop_
_atom_site_label
_atom_site_type_symbol
_atom_site_fract_x
_atom_site_fract_y
_atom_site_fract_z
_atom_site_occupancy
Hg1 Hg 0.0000 0.0000 0.0000 1
Ir1 Ir 0.2432 0.2432 0.2432 1
Ir2 Ir 0.7568 0.7568 0.7568 1
Ru1 Ru 0.5000 0.5000 0.5000 1
# magnetization	0.00	μB/cell
# E_form	0.247	eV/atom
# crystal system	trigonal